A | Entry from Alexandria: a geometry-optimized LiScTa2 structure (GGA-PBE).

Unit cell a=2.832 b=2.832 c=9.252 alpha=90.00 beta=90.00 gamma=90.00
Space group P4/mmm (No. 123)
Inequivalent atoms, fractional coordinates:
Li 0.000 0.000 0.000 (multiplicity 1)
Sc 0.000 0.000 0.500 (multiplicity 1)
Ta 0.500 0.500 0.243 (multiplicity 2)

Computed properties:
As for the density of states at the Fermi level: 5.86 states/eV per cell. As for the crystal system: tetragonal.


B | Entry from Alexandria: a geometry-optimized LiScTa2 structure (GGA-PBE).

Unit cell a=3.233 b=4.515 c=10.031 alpha=90.00 beta=90.00 gamma=90.00
Space group Immm (No. 71)
Inequivalent atoms, fractional coordinates:
Li 0.000 0.000 0.000 (multiplicity 2)
Sc 0.000 0.000 0.500 (multiplicity 2)
Ta 0.000 0.500 0.267 (multiplicity 4)

Computed properties:
As for the density of states at the Fermi level: 5.46 states/eV per cell. As for the crystal system: orthorhombic.


C | Entry from Alexandria: a geometry-optimized LiScTa2 structure (GGA-PBE).

Unit cell a=6.592 b=6.592 c=6.592 alpha=90.00 beta=90.00 gamma=90.00
Space group Fm-3m (No. 225)
Inequivalent atoms, fractional coordinates:
Li 0.000 0.000 0.000 (multiplicity 4)
Sc 0.000 0.000 0.500 (multiplicity 4)
Ta 0.250 0.250 0.250 (multiplicity 8)

Computed properties:
As for the density of states at the Fermi level: 17.94 states/eV per cell. As for the crystal system: cubic.


D | Entry from Alexandria: a geometry-optimized LiScTa2 structure (GGA-PBE).

Unit cell a=5.495 b=10.238 c=2.859 alpha=90.00 beta=111.30 gamma=90.00
Space group C2/m (No. 12)
Inequivalent atoms, fractional coordinates:
Li 0.000 0.000 0.000 (multiplicity 2)
Sc 0.000 0.500 0.000 (multiplicity 2)
Ta 0.250 0.250 0.500 (multiplicity 4)

Computed properties:
As for the density of states at the Fermi level: 7.04 states/eV per cell. As for the crystal system: monoclinic.


The structure with the greatest stability is B.


A | Entry from Alexandria: a geometry-optimized LiScTa2 structure (GGA-PBE).

Unit cell a=2.853 b=5.062 c=5.294 alpha=90.00 beta=101.93 gamma=90.00
Space group P2/m (No. 10)
Inequivalent atoms, fractional coordinates:
Li 0.000 0.000 0.000 (multiplicity 1)
Sc 0.500 0.000 0.500 (multiplicity 1)
Ta 0.167 0.500 0.761 (multiplicity 2)

Computed properties:
As for the density of states at the Fermi level: 4.18 states/eV per cell. As for the crystal system: monoclinic.


B | Entry from Alexandria: a geometry-optimized LiScTa2 structure (GGA-PBE).

Unit cell a=9.664 b=2.861 c=5.599 alpha=90.00 beta=95.79 gamma=90.00
Space group Cm (No. 8)
Inequivalent atoms, fractional coordinates:
Li 0.000 0.000 0.000 (multiplicity 2)
Sc 0.245 0.000 0.757 (multiplicity 2)
Ta 0.247 0.500 0.284 (multiplicity 2)
Ta 0.489 0.000 0.464 (multiplicity 2)

Computed properties:
As for the density of states at the Fermi level: 8.59 states/eV per cell. As for the crystal system: monoclinic.


The structure with the greatest stability is A.


A | Entry from Alexandria: a geometry-optimized LiScTa2 structure (GGA-PBE).

Unit cell a=3.262 b=4.535 c=10.315 alpha=90.00 beta=90.00 gamma=90.00
Space group Cmmm (No. 65)
Inequivalent atoms, fractional coordinates:
Li 0.000 0.000 0.000 (multiplicity 2)
Sc 0.000 0.000 0.500 (multiplicity 2)
Ta 0.000 0.500 0.252 (multiplicity 4)

Computed properties:
As for the density of states at the Fermi level: 8.48 states/eV per cell. As for the crystal system: orthorhombic.


B | Entry from Alexandria: a geometry-optimized LiScTa2 structure (GGA-PBE).

Unit cell a=4.958 b=4.958 c=2.972 alpha=90.00 beta=90.00 gamma=90.00
Space group P4/mmm (No. 123)
Inequivalent atoms, fractional coordinates:
Li 0.000 0.000 0.000 (multiplicity 1)
Sc 0.500 0.500 0.000 (multiplicity 1)
Ta 0.000 0.500 0.500 (multiplicity 2)

Computed properties:
As for the density of states at the Fermi level: 4.18 states/eV per cell. As for the crystal system: tetragonal.


C | Entry from Alexandria: a geometry-optimized LiScTa2 structure (GGA-PBE).

Unit cell a=5.603 b=9.672 c=2.768 alpha=90.00 beta=90.00 gamma=90.00
Space group Cmmm (No. 65)
Inequivalent atoms, fractional coordinates:
Li 0.000 0.000 0.000 (multiplicity 2)
Sc 0.000 0.500 0.000 (multiplicity 2)
Ta 0.250 0.250 0.500 (multiplicity 4)

Computed properties:
As for the density of states at the Fermi level: 8.84 states/eV per cell. As for the crystal system: orthorhombic.


The structure with the greatest stability is A.


A | Entry from Alexandria: a geometry-optimized LiScTa2 structure (GGA-PBE).

Unit cell a=3.073 b=5.098 c=9.458 alpha=90.00 beta=90.00 gamma=90.00
Space group Imm2 (No. 44)
Inequivalent atoms, fractional coordinates:
Li 0.000 0.000 0.000 (multiplicity 2)
Sc 0.000 0.500 0.742 (multiplicity 2)
Ta 0.000 0.000 0.518 (multiplicity 2)
Ta 0.000 0.500 0.262 (multiplicity 2)

Computed properties:
As for the density of states at the Fermi level: 7.68 states/eV per cell. As for the crystal system: orthorhombic.


B | Entry from Alexandria: a geometry-optimized LiScTa2 structure (GGA-PBE).

Unit cell a=4.030 b=4.030 c=9.072 alpha=90.00 beta=90.00 gamma=90.00
Space group I4/mmm (No. 139)
Inequivalent atoms, fractional coordinates:
Li 0.000 0.000 0.000 (multiplicity 2)
Sc 0.000 0.000 0.500 (multiplicity 2)
Ta 0.000 0.500 0.250 (multiplicity 4)

Computed properties:
As for the density of states at the Fermi level: 8.70 states/eV per cell. As for the crystal system: tetragonal.


The structure with the greatest stability is B.


A | Entry from Alexandria: a geometry-optimized LiScTa2 structure (GGA-PBE).

Unit cell a=2.883 b=4.736 c=5.618 alpha=90.00 beta=93.16 gamma=90.00
Space group Pm (No. 6)
Inequivalent atoms, fractional coordinates:
Li 0.000 0.000 0.000 (multiplicity 1)
Sc 0.577 0.500 0.210 (multiplicity 1)
Ta 0.050 0.500 0.689 (multiplicity 1)
Ta 0.478 0.000 0.538 (multiplicity 1)

Computed properties:
As for the density of states at the Fermi level: 3.14 states/eV per cell. As for the crystal system: monoclinic.


B | Entry from Alexandria: a geometry-optimized LiScTa2 structure (GGA-PBE).

Unit cell a=6.613 b=6.613 c=6.613 alpha=90.00 beta=90.00 gamma=90.00
Space group F-43m (No. 216)
Inequivalent atoms, fractional coordinates:
Li 0.000 0.000 0.000 (multiplicity 4)
Sc 0.250 0.250 0.250 (multiplicity 4)
Ta 0.000 0.000 0.500 (multiplicity 4)
Ta 0.250 0.250 0.750 (multiplicity 4)

Computed properties:
As for the density of states at the Fermi level: 15.34 states/eV per cell. As for the crystal system: cubic.


The structure with the greatest stability is A.


A | Entry from Alexandria: a geometry-optimized Li2ScTa2 structure (GGA-PBE).

Unit cell a=3.708 b=3.708 c=14.041 alpha=90.00 beta=90.00 gamma=90.00
Space group I4/mmm (No. 139)
Inequivalent atoms, fractional coordinates:
Li 0.000 0.500 0.250 (multiplicity 4)
Sc 0.000 0.000 0.000 (multiplicity 2)
Ta 0.000 0.000 0.410 (multiplicity 4)

Computed properties:
As for the density of states at the Fermi level: 7.31 states/eV per cell. As for the crystal system: tetragonal.


B | Entry from Alexandria: a geometry-optimized Li2ScTa2 structure (GGA-PBE).

Unit cell a=8.048 b=8.048 c=2.806 alpha=90.00 beta=90.00 gamma=90.00
Space group P4/mbm (No. 127)
Inequivalent atoms, fractional coordinates:
Li 0.182 0.318 0.000 (multiplicity 4)
Sc 0.000 0.000 0.500 (multiplicity 2)
Ta 0.114 0.614 0.500 (multiplicity 4)

Computed properties:
As for the density of states at the Fermi level: 9.20 states/eV per cell. As for the crystal system: tetragonal.


The structure with the greatest stability is B.


A | Entry from Alexandria: a geometry-optimized LiTbSc2 structure (GGA-PBE).

Unit cell a=3.3464 b=3.3464 c=31.8822 alpha=90.00 beta=90.00 gamma=120.00
Space group R3m (No. 160, hexagonal axes)
Inequivalent atoms, fractional coordinates:
Li 0.0000 0.0000 0.0000 (multiplicity 3)
Tb 0.0000 0.0000 0.1660 (multiplicity 3)
Sc 0.0000 0.0000 0.4130 (multiplicity 3)
Sc 0.0000 0.0000 0.5862 (multiplicity 3)

Computed properties:
As for the density of states at the Fermi level: 19.80 states/eV per cell. As for the crystal system: trigonal.


B | Entry from Alexandria: a geometry-optimized LiTbSc2 structure (GGA-PBE).

Unit cell a=5.318 b=5.318 c=3.577 alpha=90.00 beta=90.00 gamma=90.00
Space group P4/mmm (No. 123)
Inequivalent atoms, fractional coordinates:
Li 0.000 0.000 0.000 (multiplicity 1)
Tb 0.500 0.500 0.000 (multiplicity 1)
Sc 0.000 0.500 0.500 (multiplicity 2)

Computed properties:
As for the density of states at the Fermi level: 7.02 states/eV per cell. As for the crystal system: tetragonal.


C | Entry from Alexandria: a geometry-optimized LiTbSc2 structure (GGA-PBE).

Unit cell a=3.3280 b=3.3280 c=31.9250 alpha=90.00 beta=90.00 gamma=120.00
Space group R-3m (No. 166, hexagonal axes)
Inequivalent atoms, fractional coordinates:
Li 0.0000 0.0000 0.0000 (multiplicity 3)
Tb 0.0000 0.0000 0.5000 (multiplicity 3)
Sc 0.0000 0.0000 0.2530 (multiplicity 6)

Computed properties:
As for the density of states at the Fermi level: 19.01 states/eV per cell. As for the crystal system: trigonal.


D | Entry from Alexandria: a geometry-optimized LiTbSc2 structure (GGA-PBE).

Unit cell a=3.449 b=3.449 c=8.278 alpha=90.00 beta=90.00 gamma=90.00
Space group P4/mmm (No. 123)
Inequivalent atoms, fractional coordinates:
Li 0.000 0.000 0.000 (multiplicity 1)
Tb 0.000 0.000 0.500 (multiplicity 1)
Sc 0.500 0.500 0.215 (multiplicity 2)

Computed properties:
As for the density of states at the Fermi level: 6.38 states/eV per cell. As for the crystal system: tetragonal.


The structure with the greatest stability is D.


A | Entry from Alexandria: a geometry-optimized LiScTc3 structure (GGA-PBE).

Unit cell a=4.642 b=4.642 c=4.642 alpha=90.00 beta=90.00 gamma=90.00
Space group Pm-3m (No. 221)
Inequivalent atoms, fractional coordinates:
Li 0.000 0.000 0.000 (multiplicity 1)
Sc 0.500 0.500 0.500 (multiplicity 1)
Tc 0.000 0.500 0.500 (multiplicity 3)

Computed properties:
As for the density of states at the Fermi level: 8.28 states/eV per cell. As for the crystal system: cubic.


B | Entry from Alexandria: a geometry-optimized LiScTc3 structure (GGA-PBE).

Unit cell a=4.246 b=4.246 c=4.246 alpha=90.00 beta=90.00 gamma=90.00
Space group Pm-3m (No. 221)
Inequivalent atoms, fractional coordinates:
Li 0.000 0.000 0.000 (multiplicity 1)
Sc 0.500 0.500 0.500 (multiplicity 1)
Tc 0.000 0.000 0.500 (multiplicity 3)

Computed properties:
As for the density of states at the Fermi level: 6.94 states/eV per cell. As for the crystal system: cubic.


The structure with the greatest stability is B.


A | Entry from Alexandria: a geometry-optimized Li2ScTc structure (GGA-PBE).

Unit cell a=3.228 b=4.796 c=8.273 alpha=90.00 beta=90.00 gamma=90.00
Space group Imm2 (No. 44)
Inequivalent atoms, fractional coordinates:
Li 0.000 0.000 0.000 (multiplicity 2)
Li 0.000 0.500 0.270 (multiplicity 2)
Sc 0.000 0.500 0.777 (multiplicity 2)
Tc 0.000 0.000 0.523 (multiplicity 2)

Computed properties:
As for the density of states at the Fermi level: 5.01 states/eV per cell. As for the crystal system: orthorhombic.


B | Entry from Alexandria: a geometry-optimized Li2ScTc structure (GGA-PBE).

Unit cell a=3.701 b=3.701 c=20.783 alpha=90.00 beta=90.00 gamma=90.00
Space group I-42d (No. 122)
Inequivalent atoms, fractional coordinates:
Li 0.222 0.750 0.125 (multiplicity 8)
Sc 0.000 0.000 0.500 (multiplicity 4)
Tc 0.000 0.000 0.000 (multiplicity 4)

Computed properties:
As for the density of states at the Fermi level: 19.66 states/eV per cell. As for the crystal system: tetragonal.


The structure with the greatest stability is A.


A | Entry from Alexandria: a geometry-optimized LiSc2Tc structure (GGA-PBE).

Unit cell a=3.1978 b=3.1978 c=28.0824 alpha=90.00 beta=90.00 gamma=120.00
Space group R-3m (No. 166, hexagonal axes)
Inequivalent atoms, fractional coordinates:
Li 0.0000 0.0000 0.0000 (multiplicity 3)
Sc 0.0000 0.0000 0.2362 (multiplicity 6)
Tc 0.0000 0.0000 0.5000 (multiplicity 3)

Computed properties:
As for the density of states at the Fermi level: 8.58 states/eV per cell. As for the crystal system: trigonal.


B | Entry from Alexandria: a geometry-optimized LiSc2Tc structure (GGA-PBE).

Unit cell a=3.0855 b=3.0855 c=28.9586 alpha=90.00 beta=90.00 gamma=120.00
Space group R3m (No. 160, hexagonal axes)
Inequivalent atoms, fractional coordinates:
Li 0.0000 0.0000 0.0000 (multiplicity 3)
Sc 0.0000 0.0000 0.5268 (multiplicity 3)
Sc 0.0000 0.0000 0.7608 (multiplicity 3)
Tc 0.0000 0.0000 0.2608 (multiplicity 3)

Computed properties:
As for the density of states at the Fermi level: 15.93 states/eV per cell. As for the crystal system: trigonal.


The structure with the greatest stability is A.


A | Entry from Alexandria: a geometry-optimized LiSc2Tc structure (GGA-PBE).

Unit cell a=3.441 b=4.543 c=9.359 alpha=90.00 beta=90.00 gamma=90.00
Space group Imm2 (No. 44)
Inequivalent atoms, fractional coordinates:
Li 0.000 0.000 0.000 (multiplicity 2)
Sc 0.000 0.000 0.449 (multiplicity 2)
Sc 0.000 0.500 0.233 (multiplicity 2)
Tc 0.000 0.500 0.721 (multiplicity 2)

Computed properties:
As for the density of states at the Fermi level: 6.84 states/eV per cell. As for the crystal system: orthorhombic.


B | Entry from Alexandria: a geometry-optimized LiSc2Tc structure (GGA-PBE).

Unit cell a=6.579 b=6.579 c=6.579 alpha=90.00 beta=90.00 gamma=90.00
Space group Fm-3m (No. 225)
Inequivalent atoms, fractional coordinates:
Li 0.000 0.000 0.000 (multiplicity 4)
Sc 0.250 0.250 0.250 (multiplicity 8)
Tc 0.000 0.000 0.500 (multiplicity 4)

Computed properties:
As for the density of states at the Fermi level: 8.14 states/eV per cell. As for the crystal system: cubic.


C | Entry from Alexandria: a geometry-optimized LiSc2Tc structure (GGA-PBE).

Unit cell a=8.425 b=3.119 c=6.012 alpha=90.00 beta=99.47 gamma=90.00
Space group C2/m (No. 12)
Inequivalent atoms, fractional coordinates:
Li 0.000 0.000 0.000 (multiplicity 2)
Sc 0.235 0.000 0.719 (multiplicity 4)
Tc 0.000 0.500 0.500 (multiplicity 2)

Computed properties:
As for the density of states at the Fermi level: 4.71 states/eV per cell. As for the crystal system: monoclinic.


The structure with the greatest stability is B.